Record 1
The following is a PBE calculation of a relaxed La2TbNd3Te6 crystal, from Alexandria via LeMat-Bulk.

energy relative to the elements, uncorrected	-1.462	eV per atom
spin magnetization	0.00	μB per formula unit

Cell and atoms, written as CIF:
```
data_La2TbNd3Te6
_chemical_formula_sum 'La4 Tb2 Nd6 Te12'
_cell_length_a 19.6085
_cell_length_b 4.4904
_cell_length_c 9.0523
_cell_angle_alpha 90.00
_cell_angle_beta 103.05
_cell_angle_gamma 90.00
_symmetry_space_group_name_H-M 'C 1 2/m 1'
_symmetry_Int_Tables_number 12
loop_
_symmetry_equiv_pos_as_xyz
'x,y,z'
'-x,-y,-z'
'-x,y,-z'
'x,-y,z'
'x+1/2,y+1/2,z'
'-x+1/2,-y+1/2,-z'
'-x+1/2,y+1/2,-z'
'x+1/2,-y+1/2,z'
loop_
_atom_site_label
_atom_site_type_symbol
_atom_site_fract_x
_atom_site_fract_y
_atom_site_fract_z
_atom_site_occupancy
La1 La 0.1664 0.0000 0.3338 1
Tb1 Tb 0.0000 0.5000 0.0000 1
Nd1 Nd 0.0000 0.5000 0.5000 1
Nd2 Nd 0.1701 0.0000 0.8352 1
Te1 Te 0.0027 0.0000 0.7587 1
Te2 Te 0.1624 0.5000 0.0783 1
Te3 Te 0.1655 0.5000 0.5864 1
```

***

Record 2
The following is a PBE calculation of a relaxed Ce3In crystal, from Alexandria via LeMat-Bulk.

ΔH_f (0 K)	-0.161	eV/atom
spin magnetization	2.93	μB per formula unit

Cell and atoms, written as CIF:
```
data_Ce3In
_chemical_formula_sum 'Ce6 In2'
_cell_length_a 6.8620
_cell_length_b 6.8620
_cell_length_c 5.4842
_cell_angle_alpha 90.00
_cell_angle_beta 90.00
_cell_angle_gamma 120.00
_symmetry_space_group_name_H-M 'P 63/m m c'
_symmetry_Int_Tables_number 194
_symmetry_space_group_name_Hall '-P 6c 2c'
loop_
_atom_site_label
_atom_site_type_symbol
_atom_site_fract_x
_atom_site_fract_y
_atom_site_fract_z
_atom_site_occupancy
Ce1 Ce 0.1774 0.3548 0.2500 1
In1 In 0.3333 0.6667 0.7500 1
```

***

Record 3
The following is a PBE calculation of a relaxed InSi2AgRu crystal, from Alexandria via LeMat-Bulk.

energy relative to the elements, uncorrected	0.273	eV per atom
spin magnetization	0.00	μB per formula unit

Cell and atoms, written as CIF:
```
data_InSi2AgRu
_chemical_formula_sum 'In1 Si2 Ag1 Ru1'
_cell_length_a 4.5226
_cell_length_b 4.5226
_cell_length_c 5.4478
_cell_angle_alpha 90.00
_cell_angle_beta 90.00
_cell_angle_gamma 90.00
_symmetry_space_group_name_H-M 'P 4/m m m'
_symmetry_Int_Tables_number 123
_symmetry_space_group_name_Hall '-P 4 2'
loop_
_atom_site_label
_atom_site_type_symbol
_atom_site_fract_x
_atom_site_fract_y
_atom_site_fract_z
_atom_site_occupancy
In1 In 0.0000 0.0000 0.0000 1
Si1 Si 0.0000 0.5000 0.5000 1
Ag1 Ag 0.5000 0.5000 0.0000 1
Ru1 Ru 0.5000 0.5000 0.5000 1
```

***

Record 4
The following is a PBE calculation of a relaxed Ac8Si3NiBr4 crystal, from Alexandria via LeMat-Bulk.

energy relative to the elements, uncorrected	-0.965	eV per atom
spin magnetization	0.00	μB per formula unit

Cell and atoms, written as CIF:
```
data_Ac8Si3NiBr4
_chemical_formula_sum 'Ac24 Si9 Ni3 Br12'
_cell_length_a 9.0758
_cell_length_b 9.0758
_cell_length_c 22.9532
_cell_angle_alpha 90.00
_cell_angle_beta 90.00
_cell_angle_gamma 120.00
_symmetry_space_group_name_H-M 'R -3 m'
_symmetry_Int_Tables_number 166
_symmetry_space_group_name_Hall '-R 3 2"'
loop_
_atom_site_label
_atom_site_type_symbol
_atom_site_fract_x
_atom_site_fract_y
_atom_site_fract_z
_atom_site_occupancy
Ac1 Ac 0.0000 0.0000 0.2394 1
Ac2 Ac 0.0104 0.5052 0.2366 1
Si1 Si 0.0000 0.5000 0.5000 1
Ni1 Ni 0.0000 0.0000 0.5000 1
Br1 Br 0.0000 0.0000 0.0000 1
Br2 Br 0.0000 0.5000 0.0000 1
```

***

Record 5
The following is a PBE calculation of a relaxed Cs2KRb4Au crystal, from Alexandria via LeMat-Bulk.

ΔH_f (0 K)	-0.035	eV/atom
spin magnetization	0.00	μB per formula unit

Cell and atoms, written as CIF:
```
data_Cs2KRb4Au
_chemical_formula_sum 'Cs8 K4 Rb16 Au4'
_cell_length_a 10.0140
_cell_length_b 15.6654
_cell_length_c 17.6762
_cell_angle_alpha 90.00
_cell_angle_beta 90.00
_cell_angle_gamma 90.00
_symmetry_space_group_name_H-M 'I m m 2'
_symmetry_Int_Tables_number 44
loop_
_symmetry_equiv_pos_as_xyz
'x,y,z'
'-x,-y,z'
'-x,y,z'
'x,-y,z'
'x+1/2,y+1/2,z+1/2'
'-x+1/2,-y+1/2,z+1/2'
'-x+1/2,y+1/2,z+1/2'
'x+1/2,-y+1/2,z+1/2'
loop_
_atom_site_label
_atom_site_type_symbol
_atom_site_fract_x
_atom_site_fract_y
_atom_site_fract_z
_atom_site_occupancy
Cs1 Cs 0.0000 0.2498 0.0000 1
Cs2 Cs 0.2500 0.0000 0.2499 1
K1 K 0.0000 0.2500 0.4999 1
Rb1 Rb 0.0000 0.1556 0.7442 1
Rb2 Rb 0.0000 0.3444 0.2556 1
Rb3 Rb 0.2411 0.0000 0.5539 1
Rb4 Rb 0.2410 0.5000 0.4458 1
Au1 Au 0.2500 0.0000 0.7499 1
```

***

Record 6
The following is a PBE calculation of a relaxed SiS2IN crystal, from Alexandria via LeMat-Bulk.

energy relative to the elements, uncorrected	0.523	eV per atom
spin magnetization	0.00	μB per formula unit

Cell and atoms, written as CIF:
```
data_SiS2IN
_chemical_formula_sum 'Si1 S2 I1 N1'
_cell_length_a 4.9913
_cell_length_b 4.9913
_cell_length_c 3.3755
_cell_angle_alpha 90.00
_cell_angle_beta 90.00
_cell_angle_gamma 90.00
_symmetry_space_group_name_H-M 'P 4/m m m'
_symmetry_Int_Tables_number 123
_symmetry_space_group_name_Hall '-P 4 2'
loop_
_atom_site_label
_atom_site_type_symbol
_atom_site_fract_x
_atom_site_fract_y
_atom_site_fract_z
_atom_site_occupancy
Si1 Si 0.0000 0.0000 0.0000 1
S1 S 0.0000 0.5000 0.0000 1
I1 I 0.5000 0.5000 0.5000 1
N1 N 0.0000 0.0000 0.5000 1
```

***

Question: What is the formula in the fourth record?
Answer: Ac8Si3NiBr4

***

Question: Which value of spin magnetization does entry 6 give?
Answer: 0.00 μB per formula unit